CrRhS3 | GGA-PBE | optimized geometry

Calculated values
E: -125.063 eV per cell
formation energy (no corrections): -0.38 eV/atom
density of states at the Fermi level: 1.99 states/eV/f.u.
energy relative to the lowest polymorph listed for this composition: 0 meV per atom
SG: C2/c
magnetic moment: 0.605 μB/atom

Cell: 6.3113 7.6315 7.6315 Å, 84.12 83.29 83.29°
Site moments in Bohr magnetons follow the coordinates.
Fractional coordinates of all 20 atoms:
S 0.3841 0.1872 0.0341  -0.01
S 0.1707 0.2872 0.4456  -0.09
S 0.1159 0.9659 0.8128  -0.01
S 0.3293 0.5544 0.7128  -0.09
S 0.9135 0.3649 0.8907  -0.07
S 0.6707 0.4456 0.2872  -0.09
S 0.6159 0.8128 0.9659  -0.01
S 0.4135 0.8907 0.3649  -0.07
S 0.8293 0.7128 0.5544  -0.09
S 0.0865 0.6351 0.1093  -0.07
S 0.5865 0.1093 0.6351  -0.07
S 0.8841 0.0341 0.1872  -0.01
Rh 0.2500 0.2575 0.7425  0.17
Rh 0.7500 0.0926 0.9074  0.17
Rh 0.7500 0.7425 0.2575  0.17
Rh 0.2500 0.9074 0.0926  0.17
Cr 0.4918 0.8116 0.6643  2.80
Cr 0.9918 0.6643 0.8116  2.80
Cr 0.5082 0.1884 0.3357  2.80
Cr 0.0082 0.3357 0.1884  2.80